No. 1
An optimized crystal structure of AlV4Rh. Source: Alexandria via LeMat-Bulk, functional PBE.

Cell lengths 3.058, 3.058, 8.895 Å; angles 90.00, 90.00, 90.00 degrees
Atoms (fractional coordinates):
Al  0.000  0.000  0.000
V  0.000  0.000  0.322
V  0.000  0.000  0.678
V  0.500  0.500  0.174
V  0.500  0.500  0.826
Rh  0.500  0.500  0.500

Values from the calculation:
The value obtained for the formation energy is -0.1826 eV per atom. As for the density of states at the Fermi level: 8.024 states/eV per cell. Its crystal system is tetragonal.

No. 2
An optimized crystal structure of Ba4AcTi3O12. Source: Alexandria via LeMat-Bulk, functional PBE.

Cell lengths 7.316, 7.316, 7.316 Å; angles 109.47, 109.47, 109.47 degrees
Atoms (fractional coordinates):
Ba  0.000  0.000  0.500
Ba  0.000  0.500  0.000
Ba  0.500  0.000  0.000
Ba  0.500  0.500  0.500
Ac  0.000  0.000  0.000
Ti  0.000  0.500  0.500
Ti  0.500  0.000  0.500
Ti  0.500  0.500  0.000
O  0.000  0.278  0.278
O  0.000  0.722  0.722
O  0.250  0.500  0.750
O  0.250  0.750  0.500
O  0.278  0.000  0.278
O  0.278  0.278  0.000
O  0.500  0.250  0.750
O  0.500  0.750  0.250
O  0.722  0.000  0.722
O  0.722  0.722  0.000
O  0.750  0.250  0.500
O  0.750  0.500  0.250

Values from the calculation:
As for the density of states at the Fermi level: 13.874 states/eV per cell. Its crystal system is cubic. For the formation energy from raw total energies, the calculation gives -2.861 eV per atom.

No. 3
An optimized crystal structure of TcGe2Pt. Source: Alexandria via LeMat-Bulk, functional PBE.

Cell lengths 4.300, 4.300, 3.251 Å; angles 90.00, 90.00, 90.00 degrees
Atoms (fractional coordinates):
Tc  0.000  0.000  0.000
Ge  0.000  0.500  0.500
Ge  0.500  0.000  0.500
Pt  0.500  0.500  0.000

Values from the calculation:
The value obtained for the formation energy is -0.1446 eV per atom. As for the density of states at the Fermi level: 1.924 states/eV per cell. Its crystal system is tetragonal.

No. 4
An optimized crystal structure of La3PbN. Source: Alexandria via LeMat-Bulk, functional PBE.

Cell lengths 9.439, 9.439, 6.512 Å; angles 92.50, 92.50, 96.38 degrees
Atoms (fractional coordinates):
La  0.060  0.754  0.924
La  0.195  0.579  0.408
La  0.246  0.940  0.576
La  0.318  0.455  0.903
La  0.421  0.805  0.092
La  0.455  0.318  0.403
La  0.545  0.682  0.597
La  0.579  0.195  0.908
La  0.682  0.545  0.097
La  0.754  0.060  0.424
La  0.805  0.421  0.592
La  0.940  0.246  0.076
Pb  0.092  0.246  0.568
Pb  0.246  0.092  0.068
Pb  0.754  0.908  0.932
Pb  0.908  0.754  0.432
N  0.294  0.706  0.750
N  0.437  0.563  0.250
N  0.563  0.437  0.750
N  0.706  0.294  0.250

Values from the calculation:
As for the density of states at the Fermi level: 11.550 states/eV per cell. Its crystal system is monoclinic. For the formation energy from raw total energies, the calculation gives -0.752 eV per atom.